This record from Alexandria via LeMat-Bulk describes a relaxed structure of KRb3W2O8. The functional is GGA+U.

Properties
The symmetry is P-3m1. The value obtained for the total energy is -86.65 eV per formula unit. The value obtained for the total magnetization is 0.3 μB/f.u.

Cell lengths 6.515, 6.515, 8.265 Å; angles 90.00, 90.00, 120.00 degrees
Site moments in Bohr magnetons follow the coordinates.
Fractional positions:
Rb: 0.667 0.333 0.334  0.00
Rb: 0.333 0.667 0.666  0.00
O: 0.333 0.667 0.991  0.05
O: 0.365 0.182 0.712  0.02
Rb: 0.000 0.000 0.000  0.00
O: 0.818 0.635 0.712  0.02
W: 0.667 0.333 0.790  -0.02
O: 0.182 0.818 0.288  0.02
O: 0.667 0.333 0.009  0.05
K: 0.000 0.000 0.500  0.00
W: 0.333 0.667 0.210  -0.02
O: 0.818 0.182 0.712  0.02
O: 0.635 0.818 0.288  0.02
O: 0.182 0.365 0.288  0.02